No. 1
Li4TlSiAg2 after structural relaxation. Source: the Open Quantum Materials Database, functional PBE.

Cell: 4.4317 4.4317 6.5712 Å, 90.00 90.00 90.00°
Last column: nearest neighbours and their distance in Å.
Positions (direct):
Li: 0.5000 0.0000 0.2251  2 Si 2.66, 4 Li 2.66-2.86, 2 Tl 2.86, 1 Ag 2.88
Ag: 0.5000 0.0000 0.7863  5 Li 2.62-2.91, 2 Si 2.62, 2 Tl 2.91
Li: 0.0000 0.0000 0.5000  4 Li 2.86, 4 Ag 2.91, 4 Tl 3.13
Li: 0.5000 0.5000 0.0000  4 Ag 2.62, 4 Li 2.66
Li: 0.0000 0.5000 0.7749  4 Li 2.66-2.86, 2 Si 2.66, 2 Tl 2.86, 1 Ag 2.88
Tl: 0.5000 0.5000 0.5000  8 Li 2.86-3.13, 4 Ag 2.91
Ag: 0.0000 0.5000 0.2137  5 Li 2.62-2.91, 2 Si 2.62, 2 Tl 2.91
Si: 0.0000 0.0000 0.0000  4 Ag 2.62, 4 Li 2.66

Calculated values
mass density: 6.12 g cm⁻³
electronic total energy: -2.870 eV/atom
crystal system: tetragonal
symmetry: No. 115

No. 2
Li4ZnSiAg2 after structural relaxation. Source: the Open Quantum Materials Database, functional PBE.

Cell: 4.3985 4.3985 6.1542 Å, 90.00 90.00 90.00°
Last column: nearest neighbours and their distance in Å.
Positions (direct):
Ag: 0.5000 0.0000 0.2364  2 Si 2.64, 4 Li 2.64-2.73, 2 Zn 2.73
Si: 0.5000 0.5000 0.0000  4 Ag 2.64, 4 Li 2.67
Li: 0.0000 0.0000 0.0000  4 Ag 2.64, 4 Li 2.67
Li: 0.0000 0.5000 0.2465  4 Li 2.67-2.70, 2 Si 2.67, 2 Zn 2.70, 1 Ag 2.97
Li: 0.5000 0.5000 0.5000  4 Li 2.70, 4 Ag 2.73
Zn: 0.0000 0.0000 0.5000  4 Li 2.70, 4 Ag 2.73
Ag: 0.0000 0.5000 0.7636  2 Si 2.64, 4 Li 2.64-2.73, 2 Zn 2.73
Li: 0.5000 0.0000 0.7535  2 Si 2.67, 4 Li 2.67-2.70, 2 Zn 2.70, 1 Ag 2.97

Calculated values
mass density: 4.70 g cm⁻³
electronic total energy: -2.735 eV/atom
crystal system: tetragonal
symmetry: No. 115

No. 3
LiZnSiAg after structural relaxation. Source: the Open Quantum Materials Database, functional PBE.

Cell: 4.4249 4.4249 4.4249 Å, 60.00 60.00 60.00°
Last column: nearest neighbours and their distance in Å.
Positions (direct):
Zn: 0.5000 0.5000 0.5000  4 Li 2.71, 4 Ag 2.71
Si: 0.0000 0.0000 0.0000  4 Ag 2.71, 4 Li 2.71
Li: 0.7500 0.7500 0.7500  4 Zn 2.71, 4 Si 2.71
Ag: 0.2500 0.2500 0.2500  4 Si 2.71, 4 Zn 2.71

Calculated values
mass density: 5.65 g cm⁻³
crystal system: cubic
E above lowest polymorph: 48 meV per atom
symmetry: No. 216

No. 4
LiZnSiAg after structural relaxation. Source: the Open Quantum Materials Database, functional PBE.

Cell: 4.4069 4.4069 4.4069 Å, 60.00 60.00 60.00°
Last column: nearest neighbours and their distance in Å.
Positions (direct):
Zn: 0.0000 0.0000 0.0000  4 Li 2.70, 4 Si 2.70
Li: 0.7500 0.7500 0.7500  4 Ag 2.70, 4 Zn 2.70
Ag: 0.5000 0.5000 0.5000  4 Li 2.70, 4 Si 2.70
Si: 0.2500 0.2500 0.2500  4 Zn 2.70, 4 Ag 2.70

Calculated values
mass density: 5.72 g cm⁻³
crystal system: cubic
E above lowest polymorph: 0 meV per atom
symmetry: No. 216

No. 5
Li2AgSn2 after structural relaxation. Source: the Open Quantum Materials Database, functional PBE.

Cell: 10.6146 10.6146 10.6146 Å, 155.07 155.07 35.54°
Last column: nearest neighbours and their distance in Å.
Positions (direct):
Sn: 0.1717 0.1717 0.0000  2 Ag 2.78, 2 Sn 2.97, 3 Li 3.00-3.12
Li: 0.6741 0.6741 0.0000  2 Ag 2.76, 2 Sn 3.00, 2 Li 3.03
Ag: 0.5000 0.5000 0.0000  4 Li 2.76, 4 Sn 2.78
Li: 0.0759 0.5759 0.5000  2 Ag 2.76, 2 Sn 3.00, 2 Li 3.03
Li: 0.3259 0.3259 0.0000  2 Ag 2.76, 2 Sn 3.00, 2 Li 3.03
Sn: 0.9217 0.4217 0.5000  2 Ag 2.78, 2 Sn 2.97, 3 Li 3.00-3.12
Sn: 0.5783 0.0783 0.5000  2 Ag 2.78, 2 Sn 2.97, 3 Li 3.00-3.12
Li: 0.4241 0.9241 0.5000  2 Ag 2.76, 2 Sn 3.00, 2 Li 3.03
Ag: 0.2500 0.7500 0.5000  4 Li 2.76, 4 Sn 2.78
Sn: 0.8283 0.8283 0.0000  2 Ag 2.78, 2 Sn 2.97, 3 Li 3.00-3.12

Calculated values
mass density: 5.62 g cm⁻³
electronic total energy: -3.248 eV/atom
crystal system: tetragonal
symmetry: No. 141

No. 6
LiAgSn after structural relaxation. Source: the Open Quantum Materials Database, functional PBE.

Cell: 8.0090 8.0090 3.1856 Å, 90.00 90.00 120.00°
Last column: nearest neighbours and their distance in Å.
Positions (direct):
Sn: 0.3042 0.0000 0.0000  4 Ag 2.79-2.91, 2 Li 3.10
Ag: 0.0000 0.0000 0.5000  6 Sn 2.91, 3 Li 2.92, 2 Ag 3.19
Sn: 0.6958 0.6958 0.0000  4 Ag 2.79-2.91, 2 Li 3.10
Sn: 0.0000 0.3042 0.0000  4 Ag 2.79-2.91, 2 Li 3.10
Li: 0.3642 0.3642 0.5000  5 Ag 2.92-3.01, 6 Sn 3.10-3.14, 2 Li 3.19
Ag: 0.3333 0.6667 0.0000  3 Sn 2.79, 6 Li 3.01
Ag: 0.6667 0.3333 0.0000  3 Sn 2.79, 6 Li 3.01
Li: 0.6358 0.0000 0.5000  5 Ag 2.92-3.01, 6 Sn 3.10-3.14, 2 Li 3.19
Li: 0.0000 0.6358 0.5000  5 Ag 2.92-3.01, 6 Sn 3.10-3.14, 2 Li 3.19

Calculated values
mass density: 6.57 g cm⁻³
electronic total energy: -3.178 eV/atom
crystal system: hexagonal
symmetry: No. 189

No. 7
LiAgSn after structural relaxation. Source: the Open Quantum Materials Database, functional PBE.

Cell: 4.5303 4.5303 4.5303 Å, 60.00 60.00 60.00°
Last column: nearest neighbours and their distance in Å.
Positions (direct):
Li: 0.2500 0.2500 0.2500  4 Ag 2.77
Sn: 0.7500 0.7500 0.7500  4 Ag 2.77
Ag: 0.0000 0.0000 0.0000  4 Li 2.77, 4 Sn 2.77

Calculated values
mass density: 5.90 g cm⁻³
electronic total energy: -3.065 eV/atom
crystal system: cubic
symmetry: No. 216

No. 8
LiAgSnTe3 after structural relaxation. Source: the Open Quantum Materials Database, functional PBE.

Cell: 7.2241 7.2241 11.9567 Å, 90.00 90.00 31.99°
Last column: nearest neighbours and their distance in Å.
Positions (direct):
Te: 0.1061 0.1061 0.7500  2 Ag 2.81
Sn: 0.0000 0.0000 0.5000  6 Te 3.02-3.33
Sn: 0.0000 0.0000 0.0000  6 Te 3.02-3.33
Te: 0.6551 0.6551 0.4390  1 Ag 2.80, 2 Sn 3.02, 2 Li 3.13
Te: 0.6551 0.6551 0.0610  1 Ag 2.80, 2 Sn 3.02, 2 Li 3.13
Li: 0.7833 0.7833 0.7500  6 Te 3.13-3.17, 2 Ag 3.20
Ag: 0.4634 0.4634 0.7500  4 Te 2.80-2.81
Ag: 0.5366 0.5366 0.2500  4 Te 2.80-2.81
Li: 0.2167 0.2167 0.2500  6 Te 3.13-3.17, 2 Ag 3.20
Te: 0.3449 0.3449 0.9390  1 Ag 2.80, 2 Sn 3.02, 2 Li 3.13
Te: 0.8939 0.8939 0.2500  2 Ag 2.81
Te: 0.3449 0.3449 0.5610  1 Ag 2.80, 2 Sn 3.02, 2 Li 3.13

Calculated values
mass density: 6.19 g cm⁻³
electronic total energy: -3.271 eV/atom
crystal system: orthorhombic
symmetry: No. 63

No. 9
LiAg3SnTe4 after structural relaxation. Source: the Open Quantum Materials Database, functional PBE.

Cell: 6.5506 6.5506 6.5506 Å, 90.00 90.00 90.00°
Last column: nearest neighbours and their distance in Å.
Positions (direct):
Ag: 0.5000 0.5000 0.0000  4 Te 2.87
Ag: 0.5000 0.0000 0.5000  4 Te 2.87
Li: 0.0000 0.0000 0.0000  4 Te 2.75
Te: 0.2422 0.7578 0.7578  1 Li 2.75, 3 Ag 2.87, 1 Sn 2.93
Te: 0.7578 0.2422 0.7578  1 Li 2.75, 3 Ag 2.87, 1 Sn 2.93
Sn: 0.5000 0.5000 0.5000  4 Te 2.93, 6 Ag 3.28
Te: 0.2422 0.2422 0.2422  1 Li 2.75, 3 Ag 2.87, 1 Sn 2.93
Ag: 0.0000 0.5000 0.5000  4 Te 2.87
Te: 0.7578 0.7578 0.2422  1 Li 2.75, 3 Ag 2.87, 1 Sn 2.93

Calculated values
mass density: 5.67 g cm⁻³
crystal system: cubic
E above lowest polymorph: 67 meV per atom
symmetry: No. 215

No. 10
LiAg3SnTe4 after structural relaxation. Source: the Open Quantum Materials Database, functional PBE.

Cell: 6.7304 8.8663 8.8759 Å, 90.00 94.66 90.00°
Last column: nearest neighbours and their distance in Å.
Positions (direct):
Te: 0.0241 0.2500 0.9719  5 Ag 2.85-3.13, 1 Sn 2.91
Li: 0.6420 0.2500 0.5563  3 Te 2.84-2.91, 1 Ag 2.86
Te: 0.5109 0.4957 0.2801  3 Ag 2.84-2.95, 1 Sn 2.84, 1 Li 2.91
Ag: 0.1957 0.7500 0.7313  1 Li 2.86, 4 Te 2.89-3.12, 1 Sn 2.92, 2 Ag 2.96
Te: 0.4891 0.9957 0.7199  3 Ag 2.84-2.95, 1 Sn 2.84, 1 Li 2.91
Te: 0.4891 0.5043 0.7199  3 Ag 2.84-2.95, 1 Sn 2.84, 1 Li 2.91
Li: 0.3580 0.7500 0.4437  3 Te 2.84-2.91, 1 Ag 2.86
Te: 0.0625 0.2500 0.5449  1 Sn 2.80, 1 Li 2.84, 1 Ag 2.89
Sn: 0.7616 0.7500 0.7301  4 Te 2.80-2.91, 1 Ag 2.92
Ag: 0.7118 0.4591 0.0127  4 Te 2.84-3.13, 2 Ag 2.93-2.96
Te: 0.9375 0.7500 0.4551  1 Sn 2.80, 1 Li 2.84, 1 Ag 2.89
Ag: 0.2882 0.5409 0.9873  4 Te 2.84-3.13, 2 Ag 2.93-2.96
Ag: 0.7118 0.0409 0.0127  4 Te 2.84-3.13, 2 Ag 2.93-2.96
Te: 0.5109 0.0043 0.2801  3 Ag 2.84-2.95, 1 Sn 2.84, 1 Li 2.91
Ag: 0.8043 0.2500 0.2687  1 Li 2.86, 4 Te 2.89-3.12, 1 Sn 2.92, 2 Ag 2.96
Sn: 0.2384 0.2500 0.2699  4 Te 2.80-2.91, 1 Ag 2.92
Te: 0.9759 0.7500 0.0281  5 Ag 2.85-3.13, 1 Sn 2.91
Ag: 0.2882 0.9591 0.9873  4 Te 2.84-3.13, 2 Ag 2.93-2.96

Calculated values
mass density: 6.04 g cm⁻³
crystal system: monoclinic
E above lowest polymorph: 0 meV per atom
symmetry: No. 11

No. 11
Li4TlAg2Sn after structural relaxation. Source: the Open Quantum Materials Database, functional PBE.

Cell: 4.6646 4.6646 6.5587 Å, 90.00 90.00 90.00°
Last column: nearest neighbours and their distance in Å.
Positions (direct):
Ag: 0.0000 0.5000 0.2396  2 Sn 2.81, 4 Li 2.81-2.89, 2 Tl 2.89
Li: 0.5000 0.0000 0.2490  2 Sn 2.85, 4 Li 2.85, 2 Tl 2.85
Li: 0.0000 0.5000 0.7510  2 Sn 2.85, 4 Li 2.85, 2 Tl 2.85
Li: 0.5000 0.5000 0.0000  4 Ag 2.81, 4 Li 2.85
Li: 0.0000 0.0000 0.5000  4 Li 2.85, 4 Ag 2.89
Ag: 0.5000 0.0000 0.7604  4 Li 2.81-2.89, 2 Sn 2.81, 2 Tl 2.89
Tl: 0.5000 0.5000 0.5000  4 Li 2.85, 4 Ag 2.89
Sn: 0.0000 0.0000 0.0000  4 Ag 2.81, 4 Li 2.85

Calculated values
mass density: 6.59 g cm⁻³
electronic total energy: -2.751 eV/atom
crystal system: tetragonal
symmetry: No. 115

No. 12
Li4Zn2AgSn after structural relaxation. Source: the Open Quantum Materials Database, functional PBE.

Cell: 4.4482 4.4482 6.3677 Å, 90.00 90.00 90.00°
Last column: nearest neighbours and their distance in Å.
Positions (direct):
Zn: 0.5000 0.0000 0.7618  4 Li 2.69-2.78, 2 Ag 2.69, 2 Sn 2.78
Li: 0.5000 0.5000 0.0000  4 Li 2.68, 4 Zn 2.69
Ag: 0.0000 0.0000 0.0000  4 Li 2.68, 4 Zn 2.69
Li: 0.5000 0.0000 0.2357  4 Li 2.68-2.79, 2 Ag 2.68, 2 Sn 2.79
Zn: 0.0000 0.5000 0.2382  4 Li 2.69-2.78, 2 Ag 2.69, 2 Sn 2.78
Sn: 0.5000 0.5000 0.5000  4 Zn 2.78, 4 Li 2.79
Li: 0.0000 0.5000 0.7643  2 Ag 2.68, 4 Li 2.68-2.79, 2 Sn 2.79
Li: 0.0000 0.0000 0.5000  4 Zn 2.78, 4 Li 2.79

Calculated values
mass density: 5.08 g cm⁻³
electronic total energy: -2.417 eV/atom
crystal system: tetragonal
symmetry: No. 115